This record from Alexandria via LeMat-Bulk describes an optimized crystal structure of Ac3Sn2Hg3. The functional is GGA-PBE.

The structure in POSCAR format:
```
Ac3Sn2Hg3
1.0
2.4118 -6.1902 0.0000
2.4118 6.1902 0.0000
0.0000 0.0000 16.8052
Ac Sn Hg
6 4 6
direct
0.0700 0.9300 0.6062
0.0700 0.9300 0.8938
0.3492 0.6508 0.7500
0.6508 0.3492 0.2500
0.9300 0.0700 0.1062
0.9300 0.0700 0.3938
0.2218 0.7782 0.1109
0.2218 0.7782 0.3891
0.7782 0.2218 0.6109
0.7782 0.2218 0.8891
0.3768 0.6232 0.5358
0.3768 0.6232 0.9642
0.3846 0.6154 0.2500
0.6154 0.3846 0.7500
0.6232 0.3768 0.0358
0.6232 0.3768 0.4642
```

Properties
Space-group type: Cmcm, No. 63
ΔE_f, eV/atom: -0.5557

=====

This record from Alexandria via LeMat-Bulk describes an optimized crystal structure of Na8Tl3Pb2. The functional is GGA-PBE.

The structure in POSCAR format:
```
Na8Tl3Pb2
1.0
6.4891 -5.5491 0.0000
6.4891 5.5491 0.0000
-2.2036 0.0000 5.4295
Na Tl Pb
8 3 2
direct
0.0737 0.0737 0.2782
0.1012 0.5812 0.8617
0.3556 0.3556 0.4178
0.4188 0.8988 0.1383
0.5812 0.1012 0.8617
0.6444 0.6444 0.5822
0.8988 0.4188 0.1383
0.9263 0.9263 0.7218
0.2392 0.7608 0.5000
0.5000 0.5000 0.0000
0.7608 0.2392 0.5000
0.1945 0.1945 0.8484
0.8055 0.8055 0.1516
```

Properties
Energy above the most stable polymorph in this dataset, meV/atom: 0.0
Space-group type: C2/m, No. 12
ΔE_f, eV/atom: -0.0839

=====

This record from Alexandria via LeMat-Bulk describes an optimized crystal structure of DyHgSbAu. The functional is GGA-PBE.

The structure in POSCAR format:
```
DyHgSbAu
1.0
7.2488 0.0000 0.0000
0.0000 7.2488 0.0000
0.0000 0.0000 7.2488
Dy Hg Sb Au
4 4 4 4
direct
0.0000 0.0000 0.0000
0.0000 0.5000 0.5000
0.5000 0.0000 0.5000
0.5000 0.5000 0.0000
0.2500 0.2500 0.2500
0.2500 0.7500 0.7500
0.7500 0.2500 0.7500
0.7500 0.7500 0.2500
0.0000 0.0000 0.5000
0.0000 0.5000 0.0000
0.5000 0.0000 0.0000
0.5000 0.5000 0.5000
0.2500 0.2500 0.7500
0.2500 0.7500 0.2500
0.7500 0.2500 0.2500
0.7500 0.7500 0.7500
```

Properties
Space-group type: F-43m, No. 216
Formation energy without anion corrections, eV per atom: -0.4096

=====

This record from Alexandria via LeMat-Bulk describes an optimized crystal structure of Ba12BiAu6. The functional is GGA-PBE.

The structure in POSCAR format:
```
Ba12BiAu6
1.0
-5.8557 5.8557 5.8557
5.8557 -5.8557 5.8557
5.8557 5.8557 -5.8557
Ba Bi Au
12 1 6
direct
0.1249 0.3037 0.8212
0.1788 0.4824 0.3037
0.1788 0.8751 0.6963
0.3037 0.1788 0.4824
0.3037 0.8212 0.1249
0.4824 0.3037 0.1788
0.5176 0.6963 0.8212
0.6963 0.1788 0.8751
0.6963 0.8212 0.5176
0.8212 0.1249 0.3037
0.8212 0.5176 0.6963
0.8751 0.6963 0.1788
0.0000 0.0000 0.0000
0.1254 0.5000 0.6254
0.3746 0.8746 0.5000
0.5000 0.3746 0.8746
0.5000 0.6254 0.1254
0.6254 0.1254 0.5000
0.8746 0.5000 0.3746
```

Properties
Space-group type: Im-3, No. 204
ΔE_f, eV/atom: -0.5611

=====

This record from Alexandria via LeMat-Bulk describes an optimized crystal structure of Th7Tc2Hg2. The functional is GGA-PBE.

The structure in POSCAR format:
```
Th7Tc2Hg2
1.0
4.1791 -5.6125 0.0000
4.1791 5.6125 0.0000
0.0000 0.0000 7.0409
Th Tc Hg
7 2 2
direct
0.0000 0.0000 0.0000
0.0000 0.5000 0.2581
0.0000 0.5000 0.7419
0.5000 0.0000 0.2581
0.5000 0.0000 0.7419
0.5000 0.5000 0.2573
0.5000 0.5000 0.7427
0.2889 0.7111 0.0000
0.7111 0.2889 0.0000
0.1674 0.1674 0.5000
0.8326 0.8326 0.5000
```

Properties
Energy above the most stable polymorph in this dataset, meV/atom: 144.4
Space-group type: Cmmm, No. 65
ΔE_f, eV/atom: -0.0065

=====

This record from Alexandria via LeMat-Bulk describes an optimized crystal structure of LiBiMo3. The functional is GGA-PBE.

The structure in POSCAR format:
```
LiBiMo3
1.0
4.3833 0.0000 0.0000
0.0000 4.3833 0.0000
0.0000 0.0000 4.3833
Li Bi Mo
1 1 3
direct
0.0000 0.0000 0.0000
0.5000 0.5000 0.5000
0.0000 0.0000 0.5000
0.0000 0.5000 0.0000
0.5000 0.0000 0.0000
```

Properties
Energy above the most stable polymorph in this dataset, meV/atom: 0.0
Space-group type: Pm-3m, No. 221
ΔE_f, eV/atom: 1.3250

=====

This record from Alexandria via LeMat-Bulk describes an optimized crystal structure of YTm2Cu4. The functional is GGA-PBE.

The structure in POSCAR format:
```
YTm2Cu4
1.0
5.0507 0.0000 0.0000
0.0000 5.0507 0.0000
0.0000 0.0000 11.4925
Y Tm Cu
2 4 8
direct
0.0000 0.0000 0.0000
0.5000 0.5000 0.5000
0.0000 0.0000 0.2840
0.0000 0.0000 0.7160
0.5000 0.5000 0.2160
0.5000 0.5000 0.7840
0.0000 0.5000 0.1230
0.0000 0.5000 0.3770
0.0000 0.5000 0.6230
0.0000 0.5000 0.8770
0.5000 0.0000 0.1230
0.5000 0.0000 0.3770
0.5000 0.0000 0.6230
0.5000 0.0000 0.8770
```

Properties
Space-group type: I4/mmm, No. 139
ΔE_f, eV/atom: -0.0206

=====

This record from Alexandria via LeMat-Bulk describes an optimized crystal structure of Sr3YPd8. The functional is GGA-PBE.

The structure in POSCAR format:
```
Sr3YPd8
1.0
2.7942 1.6132 9.0513
-2.7942 1.6132 9.0513
0.0000 -3.2264 9.0513
Sr Y Pd
3 1 8
direct
0.0000 0.0000 0.0000
0.1248 0.1248 0.1248
0.6266 0.6266 0.6266
0.5004 0.5004 0.5004
0.0623 0.0623 0.5579
0.0623 0.5579 0.0623
0.0698 0.5637 0.5637
0.3131 0.3131 0.3131
0.5579 0.0623 0.0623
0.5637 0.0698 0.5637
0.5637 0.5637 0.0698
0.8137 0.8137 0.8137
```

Properties
Space-group type: R3m, No. 160
ΔE_f, eV/atom: -0.6544

=====

This record from Alexandria via LeMat-Bulk describes an optimized crystal structure of Tb4SmHo. The functional is GGA-PBE.

The structure in POSCAR format:
```
Tb4SmHo
1.0
0.0000 4.6548 4.6548
4.6548 0.0000 4.6548
4.6548 4.6548 0.0000
Tb Sm Ho
4 1 1
direct
0.1252 0.1252 0.1252
0.1252 0.1252 0.6243
0.1252 0.6243 0.1252
0.6243 0.1252 0.1252
0.7500 0.7500 0.7500
0.5000 0.5000 0.5000
```

Properties
Energy above the most stable polymorph in this dataset, meV/atom: 252.8
Space-group type: F-43m, No. 216
ΔE_f, eV/atom: 0.2692

=====

This record from Alexandria via LeMat-Bulk describes an optimized crystal structure of LaTbSmSc. The functional is GGA-PBE.

The structure in POSCAR format:
```
LaTbSmSc
1.0
12.2819 0.0000 0.0000
0.0000 5.7468 0.0000
-1.1812 0.0000 3.6312
La Tb Sm Sc
2 2 2 2
direct
0.0000 0.0000 0.0000
0.5000 0.5000 0.0000
0.2680 0.0000 0.7440
0.7680 0.5000 0.7440
0.2283 0.5000 0.2029
0.7283 0.0000 0.2029
0.4967 0.0000 0.4810
0.9967 0.5000 0.4810
```

Properties
Energy above the most stable polymorph in this dataset, meV/atom: 0.0
Space-group type: Cm, No. 8
ΔE_f, eV/atom: 0.0907

=====

This record from Alexandria via LeMat-Bulk describes an optimized crystal structure of NaSr2SbRh. The functional is GGA-PBE.

The structure in POSCAR format:
```
NaSr2SbRh
1.0
5.9083 0.0000 0.0000
0.0000 5.9083 0.0000
0.0000 0.0000 5.0476
Na Sr Sb Rh
1 2 1 1
direct
0.0000 0.0000 0.0000
0.0000 0.5000 0.5000
0.5000 0.0000 0.5000
0.5000 0.5000 0.0000
0.5000 0.5000 0.5000
```

Properties
Space-group type: P4/mmm, No. 123
Formation energy without anion corrections, eV per atom: -0.3926

=====

This record from Alexandria via LeMat-Bulk describes an optimized crystal structure of Si3BI. The functional is GGA-PBE.

The structure in POSCAR format:
```
Si3BI
1.0
5.3268 0.0000 0.0000
0.0000 5.3268 0.0000
0.0000 0.0000 5.3268
Si B I
3 1 1
direct
0.0000 0.0000 0.5000
0.0000 0.5000 0.0000
0.5000 0.0000 0.0000
0.5000 0.5000 0.5000
0.0000 0.0000 0.0000
```

Properties
Energy above the most stable polymorph in this dataset, meV/atom: 1529.3
Space-group type: Pm-3m, No. 221
Formation energy without anion corrections, eV per atom: 2.5013

=====

This record from Alexandria via LeMat-Bulk describes an optimized crystal structure of SrCuSn2Se4. The functional is GGA-PBE.

The structure in POSCAR format:
```
SrCuSn2Se4
1.0
2.1037 -6.8509 0.0000
2.1037 6.8509 0.0000
0.0000 0.0000 14.5299
Sr Cu Sn Se
2 2 4 8
direct
0.1087 0.8913 0.7500
0.8913 0.1087 0.2500
0.1556 0.8444 0.2500
0.8444 0.1556 0.7500
0.3665 0.6335 0.5572
0.3665 0.6335 0.9428
0.6335 0.3665 0.0572
0.6335 0.3665 0.4428
0.0000 0.0000 0.0000
0.0000 0.0000 0.5000
0.2756 0.7244 0.1227
0.2756 0.7244 0.3773
0.4360 0.5640 0.7500
0.5640 0.4360 0.2500
0.7244 0.2756 0.6227
0.7244 0.2756 0.8773
```

Properties
Space-group type: Cmcm, No. 63
Formation energy without anion corrections, eV per atom: -0.7328

=====

Number 1: energy -3.210 eV per atom, density of states at the Fermi level 10.44 states/eV/cell. Number 2: energy -2.012 eV per atom, density of states at the Fermi level 5.68 states/eV/cell. Number 3: energy -3.486 eV per atom, density of states at the Fermi level 9.27 states/eV/cell. Number 4: energy -3.015 eV per atom, density of states at the Fermi level 20.15 states/eV/cell. Number 5: energy -6.668 eV per atom, density of states at the Fermi level 12.54 states/eV/cell. Number 6: energy -6.333 eV per atom, density of states at the Fermi level 5.52 states/eV/cell. Number 7: energy -4.562 eV per atom, density of states at the Fermi level 11.48 states/eV/cell. Number 8: energy -5.075 eV per atom, density of states at the Fermi level 8.99 states/eV/cell. Number 9: energy -4.367 eV per atom, density of states at the Fermi level 10.19 states/eV/cell. Number 10: energy -5.061 eV per atom, density of states at the Fermi level 13.65 states/eV/cell. Number 11: energy -3.624 eV per atom, density of states at the Fermi level 3.81 states/eV/cell. Number 12: energy -2.398 eV per atom, density of states at the Fermi level 1.83 states/eV/cell. Number 13: energy -4.198 eV per atom, density of states at the Fermi level 6.98 states/eV/cell.